# Sn2Pd2Rh PBE-GGA optimized geometry
# E_form = -149 kJ/mol of formula units
# VASP energy = -54.6 eV per cell
# V = 182 Å³/cell
# size of the total moment = 0.00 Bohr magnetons per cell
# calculated density = 10.11 Mg/m³
data_Sn2Pd2Rh
_chemical_formula_sum 'Sn4 Pd4 Rh2'
_cell_length_a 7.3312
_cell_length_b 7.3312
_cell_length_c 3.3802
_cell_angle_alpha 90.00
_cell_angle_beta 90.00
_cell_angle_gamma 90.00
_symmetry_space_group_name_H-M 'P 1'
_symmetry_Int_Tables_number 1
loop_
_symmetry_equiv_pos_as_xyz
'x,y,z'
loop_
_atom_site_label
_atom_site_type_symbol
_atom_site_fract_x
_atom_site_fract_y
_atom_site_fract_z
Sn1 Sn 0.1608 0.3392 0.0000
Sn2 Sn 0.3392 0.8392 0.0000
Sn3 Sn 0.6608 0.1608 0.0000
Sn4 Sn 0.8392 0.6608 0.0000
Pd1 Pd 0.1382 0.6382 0.5000
Pd2 Pd 0.3618 0.1382 0.5000
Pd3 Pd 0.6382 0.8618 0.5000
Pd4 Pd 0.8618 0.3618 0.5000
Rh1 Rh 0.0000 0.0000 0.0000
Rh2 Rh 0.5000 0.5000 0.0000

=====

# ErSc3Co PBE-GGA optimized geometry
# E_form = -24 kJ/mol of formula units
# VASP energy = -61.8 eV per cell
# V = 239 Å³/cell
# size of the total moment = 0.00 Bohr magnetons per cell
# calculated density = 5.02 Mg/m³
data_ErSc3Co
_chemical_formula_sum 'Er2 Sc6 Co2'
_cell_length_a 6.8974
_cell_length_b 6.8974
_cell_length_c 6.8974
_cell_angle_alpha 114.02
_cell_angle_beta 94.51
_cell_angle_gamma 120.96
_symmetry_space_group_name_H-M 'P 1'
_symmetry_Int_Tables_number 1
loop_
_symmetry_equiv_pos_as_xyz
'x,y,z'
loop_
_atom_site_label
_atom_site_type_symbol
_atom_site_fract_x
_atom_site_fract_y
_atom_site_fract_z
Er1 Er 0.2555 0.0055 0.2500
Er2 Er 0.7445 0.9945 0.7500
Sc1 Sc 0.2419 0.4919 0.7500
Sc2 Sc 0.2642 0.0000 0.7642
Sc3 Sc 0.2642 0.5000 0.2642
Sc4 Sc 0.7358 0.0000 0.2358
Sc5 Sc 0.7358 0.5000 0.7358
Sc6 Sc 0.7581 0.5081 0.2500
Co1 Co 0.0000 0.0000 0.5000
Co2 Co 0.0000 0.5000 0.0000

=====

Question: Which formula does entry 1 have?
Answer: Sn2Pd2Rh